Y2Al3Zn4Cd | PBE | optimized geometry

The calculation puts the density of states at the Fermi level at 4.72 states/eV/f.u. Its electronic total energy is -33.44 eV/f.u. The calculation puts the formation energy at -0.327 eV per atom.

The structure belongs to space group P-4m2 (No. 115); the cell edges are 4.2246, 4.2246 and 10.8505 Å and the angles 90.00°, 90.00° and 90.00°. The inequivalent atoms are Y at (0.0000, 0.5000, 0.2385), Al at (0.0000, 0.5000, 0.8687), Al at (0.5000, 0.5000, 0.5000), Zn at (0.0000, 0.0000, 0.0000), Zn at (0.0000, 0.5000, 0.6463), Zn at (0.5000, 0.5000, 0.0000) and Cd at (0.0000, 0.0000, 0.5000).

PmPrYN3 | PBE | optimized geometry

The calculation puts the density of states at the Fermi level at 0.03 states/eV/f.u. Its electronic total energy is -48.53 eV/f.u. The value obtained for the uncorrected formation energy is -1.2607 eV/atom.

The structure belongs to space group P2_1/m (No. 11); the cell edges are 6.1285, 3.4977 and 9.4173 Å and the angles 90.00°, 97.19° and 90.00°. The inequivalent atoms are Pm at (0.1811, 0.2500, 0.1289), Pr at (0.2955, 0.2500, 0.7724), Y at (0.2386, 0.7500, 0.4496), N at (0.0213, 0.7500, 0.6481), N at (0.2242, 0.7500, 0.9735) and N at (0.4695, 0.2500, 0.3405).

BaP2Cl | PBE | optimized geometry

For the offset from the most stable computed form, the calculation gives 21 meV per atom. The calculation puts the density of states at the Fermi level at 1.23 states/eV/f.u. Its electronic total energy is -18.44 eV/f.u. The value obtained for the uncorrected formation energy is -0.9637 eV/atom.

The structure belongs to space group Pm (No. 6); the cell edges are 5.0571, 3.5718 and 6.1469 Å and the angles 90.00°, 91.65° and 90.00°. The inequivalent atoms are Ba at (0.0000, 0.0000, 0.0000), P at (0.7065, 0.0000, 0.4977), P at (0.9753, 0.5000, 0.4774) and Cl at (0.4953, 0.5000, 0.9818).

TbPm3PrY | PBE | optimized geometry

The calculation puts the density of states at the Fermi level at 8.92 states/eV/f.u. Its electronic total energy is -30.02 eV/f.u. The calculation puts the formation energy at 0.018 eV per atom.

The structure belongs to space group P2_1/m (No. 11); the cell edges are 8.1185, 5.1526 and 10.2808 Å and the angles 90.00°, 108.55° and 90.00°. The inequivalent atoms are Tb at (0.0008, 0.2500, 0.1243), Pm at (0.3307, 0.2500, 0.9586), Pm at (0.3307, 0.7500, 0.2074), Pm at (0.3320, 0.2500, 0.4574), Pr at (0.3328, 0.7500, 0.7088) and Y at (0.9996, 0.2500, 0.6258).

Mg2HgB | PBE | optimized geometry

For the offset from the most stable computed form, the calculation gives 195 meV per atom. The calculation puts the density of states at the Fermi level at 1.10 states/eV/f.u. Its electronic total energy is -7.47 eV/f.u. The calculation puts the formation energy at 0.675 eV per atom.

The structure belongs to space group I-42d (No. 122); the cell edges are 5.6352, 5.6352 and 12.8780 Å and the angles 90.00°, 90.00° and 90.00°. The inequivalent atoms are Mg at (0.1235, 0.2500, 0.1250), Hg at (0.0000, 0.0000, 0.5000) and B at (0.0000, 0.0000, 0.0000).

CaSe | PBE | optimized geometry

The calculation puts the density of states at the Fermi level at 0.00 states/eV/f.u. Its electronic total energy is -8.97 eV/f.u. The value obtained for the uncorrected formation energy is -1.7420 eV/atom.

The structure belongs to space group I4/m (No. 87); the cell edges are 11.6083, 11.6083 and 5.0146 Å and the angles 90.00°, 90.00° and 90.00°. The inequivalent atoms are Ca at (0.1292, 0.6978, 0.0000) and Se at (0.1132, 0.2893, 0.0000).

Pa3TeI7 | PBE | optimized geometry

The calculation puts the density of states at the Fermi level at 10.45 states/eV/f.u. Its electronic total energy is -51.64 eV/f.u. The value obtained for the uncorrected formation energy is -0.8324 eV/atom.

The structure belongs to space group P3m1 (No. 156); the cell edges are 8.3850, 8.3850 and 7.9489 Å and the angles 90.00°, 90.00° and 120.00°. The inequivalent atoms are Pa at (0.1750, 0.3501, 0.0000), Te at (0.0000, 0.0000, 0.2171), I at (0.3333, 0.6667, 0.7244), I at (0.3395, 0.1697, 0.7662) and I at (0.5030, 0.0060, 0.2462).

CdIr2Ru | PBE | optimized geometry

The calculation puts the density of states at the Fermi level at 5.20 states/eV/f.u. Its electronic total energy is -27.15 eV/f.u. The calculation puts the formation energy at 0.190 eV per atom.

The structure belongs to space group R3m (No. 160, hexagonal axes); the cell edges are 2.7916, 2.7916 and 27.6457 Å and the angles 90.00°, 90.00° and 120.00°. The inequivalent atoms are Cd at (0.0000, 0.0000, 0.0000), Ir at (0.0000, 0.0000, 0.5019), Ir at (0.0000, 0.0000, 0.7552) and Ru at (0.0000, 0.0000, 0.2447).